## SiH6I3 (PBE-GGA)

Data for crystalline SiH6I3 at its relaxed geometry.

Output
D(E_F), states/eV/atom: 0.309
Magnetic moment, μB per atom: 0.00
Symmetry: P2_1/c
E_tot, eV per atom: -2.691

Unit cell a=4.806 b=6.524 c=12.849 alpha=90.00 beta=71.13 gamma=90.00
Positions (direct):
Si 0.000 0.000 0.000
Si 0.500 0.500 0.500
I 0.495 0.978 0.264
I 0.005 0.478 0.236
I 0.505 0.022 0.736
I 0.500 0.500 0.000
I 0.995 0.522 0.764
I 0.000 0.000 0.500
H 0.287 0.654 0.473
H 0.688 0.467 0.355
H 0.713 0.346 0.527
H 0.188 0.033 0.855
H 0.213 0.154 0.027
H 0.312 0.533 0.645
H 0.794 0.191 0.994
H 0.294 0.309 0.494
H 0.706 0.691 0.506
H 0.787 0.846 0.973
H 0.812 0.967 0.145
H 0.206 0.809 0.006

## Nd3Ho2Ru2 (PBE-GGA)

Data for crystalline Nd3Ho2Ru2 at its relaxed geometry.

Output
D(E_F), states/eV/atom: 0.754
Energy of formation from the pure elements, eV/atom: -0.240
Magnetic moment, μB per atom: 0.00
Symmetry: P-1

Unit cell a=3.963 b=6.411 c=8.609 alpha=103.64 beta=103.38 gamma=107.99
Positions (direct):
Nd 0.809 0.190 0.429
Nd 0.191 0.810 0.571
Nd 0.500 0.000 0.000
Ru 0.036 0.853 0.220
Ru 0.964 0.147 0.780
Ho 0.353 0.523 0.182
Ho 0.647 0.477 0.818

## Y3GaPt2 (PBE-GGA)

Data for crystalline Y3GaPt2 at its relaxed geometry.

Output
D(E_F), states/eV/atom: 0.719
Energy of formation from the pure elements, eV/atom: -0.985
Magnetic moment, μB per atom: 0.00
Symmetry: Pnma

Unit cell a=4.273 b=11.230 c=11.683 alpha=90.00 beta=90.00 gamma=90.00
Positions (direct):
Y 0.250 0.125 0.548
Y 0.750 0.318 0.797
Y 0.750 0.625 0.952
Y 0.250 0.682 0.203
Y 0.750 0.875 0.452
Y 0.750 0.927 0.122
Y 0.750 0.573 0.622
Y 0.250 0.818 0.703
Y 0.250 0.427 0.378
Y 0.750 0.182 0.297
Y 0.250 0.073 0.878
Y 0.250 0.375 0.048
Ga 0.250 0.375 0.630
Ga 0.250 0.125 0.130
Ga 0.750 0.875 0.870
Ga 0.750 0.625 0.370
Pt 0.750 0.502 0.181
Pt 0.750 0.998 0.681
Pt 0.250 0.002 0.319
Pt 0.750 0.186 0.013
Pt 0.250 0.814 0.987
Pt 0.250 0.498 0.819
Pt 0.250 0.686 0.487
Pt 0.750 0.314 0.513

## Dy2ErTmN4 (PBE-GGA)

Data for crystalline Dy2ErTmN4 at its relaxed geometry.

Output
D(E_F), states/eV/atom: 0.026
ΔE_f (raw), eV per formula unit: -14.0
Magnetic moment, μB per atom: 0.00
Symmetry: P2/m

Unit cell a=3.445 b=5.965 c=5.965 alpha=109.45 beta=90.00 gamma=90.00
Positions (direct):
Er 0.500 0.500 0.000
N 0.500 0.248 0.246
N 0.000 0.250 0.753
N 0.000 0.750 0.247
N 0.500 0.752 0.754
Dy 0.500 0.000 0.500
Dy 0.000 0.500 0.500
Tm 0.000 0.000 0.000

## ScAl2As (PBE-GGA)

Data for crystalline ScAl2As at its relaxed geometry.

Output
D(E_F), states/eV/atom: 0.583
Energy of formation from the pure elements, eV/atom: -0.270
Magnetic moment, μB per atom: 0.00
Symmetry: I-42d

Unit cell a=7.650 b=7.650 c=6.056 alpha=50.83 beta=50.83 gamma=90.00
Positions (direct):
Sc 0.250 0.750 0.500
Sc 0.500 0.500 0.000
As 0.000 0.000 0.000
As 0.750 0.250 0.500
Al 0.085 0.625 0.250
Al 0.875 0.915 0.750
Al 0.665 0.125 0.250
Al 0.375 0.335 0.750

## CaZrAu (PBE-GGA)

Data for crystalline CaZrAu at its relaxed geometry.

Output
D(E_F), states/eV/atom: 1.020
Energy of formation from the pure elements, eV/atom: -0.255
Magnetic moment, μB per atom: 0.27
Polymorph energy (0 for the lowest one), eV/atom: 0.000
Symmetry: I4mm

Unit cell a=6.765 b=6.765 c=3.478 alpha=75.11 beta=75.11 gamma=29.79
Site moments in Bohr magnetons follow the coordinates.
Positions (direct):
Ca 0.347 0.347 0.653  0.02
Au 0.019 0.019 0.981  0.03
Zr 0.634 0.634 0.366  0.43